Entry 1:
# K2AgIBr2, optimized geometry, DFT PBE
data_K2AgIBr2
_chemical_formula_sum 'K4 Ag2 I2 Br4'
_space_group_name_H-M_alt 'P 1'
_space_group_IT_number 1
_cell_length_a 8.653
_cell_length_b 8.653
_cell_length_c 8.186
_cell_angle_alpha 90.00
_cell_angle_beta 90.00
_cell_angle_gamma 63.33
loop_
_space_group_symop_operation_xyz
'x,y,z'
loop_
_atom_site_label
_atom_site_fract_x
_atom_site_fract_y
_atom_site_fract_z
_atom_site_occupancy
K1 0.007 0.662 0.500 1
K2 0.338 0.993 0.500 1
K3 0.662 0.007 0.000 1
K4 0.993 0.338 0.000 1
Ag1 0.333 0.667 0.031 1
Ag2 0.667 0.333 0.531 1
I1 0.387 0.613 0.686 1
I2 0.613 0.387 0.186 1
Br1 0.015 0.684 0.108 1
Br2 0.316 0.985 0.108 1
Br3 0.684 0.015 0.608 1
Br4 0.985 0.316 0.608 1
# - ΔE_f (raw) (meV/atom) = -1168
# - E (Ry per atom) = -0.208


Entry 2:
# KAg2IBr8, optimized geometry, DFT PBE
data_KAg2IBr8
_chemical_formula_sum 'K1 Ag2 I1 Br8'
_space_group_name_H-M_alt 'P 1'
_space_group_IT_number 1
_cell_length_a 6.472
_cell_length_b 7.983
_cell_length_c 10.680
_cell_angle_alpha 97.45
_cell_angle_beta 93.30
_cell_angle_gamma 107.72
loop_
_space_group_symop_operation_xyz
'x,y,z'
loop_
_atom_site_label
_atom_site_fract_x
_atom_site_fract_y
_atom_site_fract_z
_atom_site_occupancy
K1 0.000 0.000 0.000 1
Ag1 0.002 0.253 0.512 1
Ag2 0.998 0.747 0.488 1
I1 0.000 0.500 0.000 1
Br1 0.115 0.295 0.810 1
Br2 0.278 0.567 0.494 1
Br3 0.280 0.069 0.501 1
Br4 0.341 0.781 0.962 1
Br5 0.659 0.219 0.038 1
Br6 0.720 0.931 0.499 1
Br7 0.722 0.433 0.506 1
Br8 0.885 0.705 0.190 1
# - ΔE_f (raw) (meV/atom) = -386
# - E (Ry per atom) = -0.162


Entry 3:
# KAgIBr, optimized geometry, DFT PBE
data_KAgIBr
_chemical_formula_sum 'K1 Ag1 I1 Br1'
_space_group_name_H-M_alt 'P 1'
_space_group_IT_number 1
_cell_length_a 5.127
_cell_length_b 5.861
_cell_length_c 5.211
_cell_angle_alpha 90.00
_cell_angle_beta 90.00
_cell_angle_gamma 90.00
loop_
_space_group_symop_operation_xyz
'x,y,z'
loop_
_atom_site_label
_atom_site_fract_x
_atom_site_fract_y
_atom_site_fract_z
_atom_site_occupancy
K1 0.000 0.000 0.000 1
Ag1 0.500 0.500 0.587 1
I1 0.500 0.000 0.460 1
Br1 0.000 0.500 0.774 1
# - ΔE_f (raw) (meV/atom) = -893
# - E (Ry per atom) = -0.197